Record 1
# NbGaH2, relaxed, DFT PBE
# Polymorph energy (0 for the lowest one) (meV per atom): 80
# Size of the total moment (μB per formula unit): 0.00
data_NbGaH2
_chemical_formula_sum 'Nb4 Ga4 H8'
_cell_length_a 3.823
_cell_length_b 3.823
_cell_length_c 11.841
_cell_angle_alpha 90.00
_cell_angle_beta 90.00
_cell_angle_gamma 90.00
_symmetry_space_group_name_H-M 'I -4 2 d'
_symmetry_Int_Tables_number 122
_symmetry_space_group_name_Hall 'I -4 2bw'
loop_
_atom_site_label
_atom_site_type_symbol
_atom_site_fract_x
_atom_site_fract_y
_atom_site_fract_z
Nb1 Nb 0.000 0.000 0.000
Ga1 Ga 0.000 0.000 0.500
H1 H 0.175 0.250 0.125



Record 2
# Nb2GaH, relaxed, DFT PBE
# Polymorph energy (0 for the lowest one) (meV per atom): 534
# Size of the total moment (μB per formula unit): 0.00
data_Nb2GaH
_chemical_formula_sum 'Nb8 Ga4 H4'
_cell_length_a 5.331
_cell_length_b 5.331
_cell_length_c 9.423
_cell_angle_alpha 90.00
_cell_angle_beta 90.00
_cell_angle_gamma 90.00
_symmetry_space_group_name_H-M 'I 41/a m d'
_symmetry_Int_Tables_number 141
loop_
_symmetry_equiv_pos_as_xyz
'x,y,z'
'-x,-y,-z'
'-y+1/4,x+3/4,z+1/4'
'y+1/4,-x+3/4,-z+1/4'
'-x+1/2,-y,z+1/2'
'x+1/2,y,-z+1/2'
'y+1/4,-x+1/4,z+3/4'
'-y+1/4,x+1/4,-z+3/4'
'x,-y,-z'
'-x,y,z'
'-y+1/4,-x+1/4,-z+3/4'
'y+1/4,x+1/4,z+3/4'
'-x+1/2,y,-z+1/2'
'x+1/2,-y,z+1/2'
'y+1/4,x+3/4,-z+1/4'
'-y+1/4,-x+3/4,z+1/4'
'x+1/2,y+1/2,z+1/2'
'-x+1/2,-y+1/2,-z+1/2'
'-y+3/4,x+1/4,z+3/4'
'y+3/4,-x+1/4,-z+3/4'
'-x,-y+1/2,z'
'x,y+1/2,-z'
'y+3/4,-x+3/4,z+1/4'
'-y+3/4,x+3/4,-z+1/4'
'x+1/2,-y+1/2,-z+1/2'
'-x+1/2,y+1/2,z+1/2'
'-y+3/4,-x+3/4,-z+1/4'
'y+3/4,x+3/4,z+1/4'
'-x,y+1/2,-z'
'x,-y+1/2,z'
'y+3/4,x+1/4,-z+3/4'
'-y+3/4,-x+1/4,z+3/4'
loop_
_atom_site_label
_atom_site_type_symbol
_atom_site_fract_x
_atom_site_fract_y
_atom_site_fract_z
Nb1 Nb 0.000 0.000 0.000
Ga1 Ga 0.000 0.250 0.375
H1 H 0.000 0.250 0.875



Record 3
# NbGaH2, relaxed, DFT PBE
# Polymorph energy (0 for the lowest one) (meV per atom): 524
# Size of the total moment (μB per formula unit): 0.00
data_NbGaH2
_chemical_formula_sum 'Nb4 Ga4 H8'
_cell_length_a 5.400
_cell_length_b 5.400
_cell_length_c 5.400
_cell_angle_alpha 90.00
_cell_angle_beta 90.00
_cell_angle_gamma 90.00
_symmetry_space_group_name_H-M 'F m -3 m'
_symmetry_Int_Tables_number 225
_symmetry_space_group_name_Hall '-F 4 2 3'
loop_
_atom_site_label
_atom_site_type_symbol
_atom_site_fract_x
_atom_site_fract_y
_atom_site_fract_z
Nb1 Nb 0.000 0.000 0.000
Ga1 Ga 0.000 0.000 0.500
H1 H 0.250 0.250 0.250



Record 4
# NbGa3H, relaxed, DFT PBE
# Polymorph energy (0 for the lowest one) (meV per atom): 0
# Size of the total moment (μB per formula unit): 0.00
data_NbGa3H
_chemical_formula_sum 'Nb1 Ga3 H1'
_cell_length_a 4.100
_cell_length_b 4.100
_cell_length_c 4.100
_cell_angle_alpha 90.00
_cell_angle_beta 90.00
_cell_angle_gamma 90.00
_symmetry_space_group_name_H-M 'P m -3 m'
_symmetry_Int_Tables_number 221
_symmetry_space_group_name_Hall '-P 4 2 3'
loop_
_atom_site_label
_atom_site_type_symbol
_atom_site_fract_x
_atom_site_fract_y
_atom_site_fract_z
Nb1 Nb 0.000 0.000 0.000
Ga1 Ga 0.000 0.500 0.500
H1 H 0.500 0.500 0.500



Record 5
# Nb3Ga2H, relaxed, DFT PBE
# Size of the total moment (μB per formula unit): 0.00
# VASP energy (eV per atom): -6.63
data_Nb3Ga2H
_chemical_formula_sum 'Nb12 Ga8 H4'
_cell_length_a 8.763
_cell_length_b 7.516
_cell_length_c 5.580
_cell_angle_alpha 90.00
_cell_angle_beta 90.00
_cell_angle_gamma 90.00
_symmetry_space_group_name_H-M 'C m c m'
_symmetry_Int_Tables_number 63
_symmetry_space_group_name_Hall '-C 2c 2'
loop_
_atom_site_label
_atom_site_type_symbol
_atom_site_fract_x
_atom_site_fract_y
_atom_site_fract_z
Nb1 Nb 0.000 0.143 0.250
Nb2 Nb 0.157 0.500 0.000
Ga1 Ga 0.141 0.189 0.750
H1 H 0.000 0.413 0.250



Record 6
# Nb2GaH, relaxed, DFT PBE
# Polymorph energy (0 for the lowest one) (meV per atom): 484
# Size of the total moment (μB per formula unit): 0.00
data_Nb2GaH
_chemical_formula_sum 'Nb8 Ga4 H4'
_cell_length_a 6.161
_cell_length_b 6.161
_cell_length_c 6.161
_cell_angle_alpha 90.00
_cell_angle_beta 90.00
_cell_angle_gamma 90.00
_symmetry_space_group_name_H-M 'F m -3 m'
_symmetry_Int_Tables_number 225
_symmetry_space_group_name_Hall '-F 4 2 3'
loop_
_atom_site_label
_atom_site_type_symbol
_atom_site_fract_x
_atom_site_fract_y
_atom_site_fract_z
Nb1 Nb 0.250 0.250 0.250
Ga1 Ga 0.000 0.000 0.000
H1 H 0.000 0.000 0.500



Record 7
# Nb2GaH, relaxed, DFT PBE
# Polymorph energy (0 for the lowest one) (meV per atom): 653
# Size of the total moment (μB per formula unit): 0.00
data_Nb2GaH
_chemical_formula_sum 'Nb6 Ga3 H3'
_cell_length_a 4.3064
_cell_length_b 4.3064
_cell_length_c 15.8470
_cell_angle_alpha 90.00
_cell_angle_beta 90.00
_cell_angle_gamma 120.00
_symmetry_space_group_name_H-M 'R -3 m'
_symmetry_Int_Tables_number 166
_symmetry_space_group_name_Hall '-R 3 2"'
loop_
_atom_site_label
_atom_site_type_symbol
_atom_site_fract_x
_atom_site_fract_y
_atom_site_fract_z
Nb1 Nb 0.0000 0.0000 0.1170
Ga1 Ga 0.0000 0.0000 0.5000
H1 H 0.0000 0.0000 0.0000



Record 8
# Nb2Ga2H, relaxed, DFT PBE
# Polymorph energy (0 for the lowest one) (meV per atom): 59
# Size of the total moment (μB per formula unit): 0.00
data_Nb2Ga2H
_chemical_formula_sum 'Nb4 Ga4 H2'
_cell_length_a 5.797
_cell_length_b 5.797
_cell_length_c 4.529
_cell_angle_alpha 90.00
_cell_angle_beta 90.00
_cell_angle_gamma 90.00
_symmetry_space_group_name_H-M 'P 4/m b m'
_symmetry_Int_Tables_number 127
_symmetry_space_group_name_Hall '-P 4 2ab'
loop_
_atom_site_label
_atom_site_type_symbol
_atom_site_fract_x
_atom_site_fract_y
_atom_site_fract_z
Nb1 Nb 0.161 0.339 0.000
Ga1 Ga 0.157 0.657 0.500
H1 H 0.000 0.000 0.000



Record 9
# NbGaH2, relaxed, DFT PBE
# Polymorph energy (0 for the lowest one) (meV per atom): 0
# Size of the total moment (μB per formula unit): 0.00
data_NbGaH2
_chemical_formula_sum 'Nb3 Ga3 H6'
_cell_length_a 3.1571
_cell_length_b 3.1571
_cell_length_c 15.3681
_cell_angle_alpha 90.00
_cell_angle_beta 90.00
_cell_angle_gamma 120.00
_symmetry_space_group_name_H-M 'R 3 m'
_symmetry_Int_Tables_number 160
_symmetry_space_group_name_Hall 'R 3 -2"'
loop_
_atom_site_label
_atom_site_type_symbol
_atom_site_fract_x
_atom_site_fract_y
_atom_site_fract_z
Nb1 Nb 0.0000 0.0000 0.0000
Ga1 Ga 0.0000 0.0000 0.8176
H1 H 0.0000 0.0000 0.3664
H2 H 0.0000 0.0000 0.6123



Record 10
# Nb2GaH2, relaxed, DFT PBE
# Polymorph energy (0 for the lowest one) (meV per atom): 0
# Size of the total moment (μB per formula unit): 0.00
data_Nb2GaH2
_chemical_formula_sum 'Nb4 Ga2 H4'
_cell_length_a 3.540
_cell_length_b 3.540
_cell_length_c 9.196
_cell_angle_alpha 90.00
_cell_angle_beta 90.00
_cell_angle_gamma 90.00
_symmetry_space_group_name_H-M 'I 4/m m m'
_symmetry_Int_Tables_number 139
_symmetry_space_group_name_Hall '-I 4 2'
loop_
_atom_site_label
_atom_site_type_symbol
_atom_site_fract_x
_atom_site_fract_y
_atom_site_fract_z
Nb1 Nb 0.000 0.000 0.158
Ga1 Ga 0.000 0.000 0.500
H1 H 0.000 0.500 0.250



Record 11
# NbGa3H, relaxed, DFT PBE
# Polymorph energy (0 for the lowest one) (meV per atom): 896
# Size of the total moment (μB per formula unit): 1.43
data_NbGa3H
_chemical_formula_sum 'Nb1 Ga3 H1'
_cell_length_a 5.131
_cell_length_b 5.131
_cell_length_c 5.131
_cell_angle_alpha 90.00
_cell_angle_beta 90.00
_cell_angle_gamma 90.00
_symmetry_space_group_name_H-M 'P m -3 m'
_symmetry_Int_Tables_number 221
_symmetry_space_group_name_Hall '-P 4 2 3'
loop_
_atom_site_label
_atom_site_type_symbol
_atom_site_fract_x
_atom_site_fract_y
_atom_site_fract_z
Nb1 Nb 0.000 0.000 0.000
Ga1 Ga 0.000 0.000 0.500
H1 H 0.500 0.500 0.500



Record 12
# Nb4GaH, relaxed, DFT PBE
# Size of the total moment (μB per formula unit): 0.00
# VASP energy (eV per atom): -7.42
data_Nb4GaH
_chemical_formula_sum 'Nb8 Ga2 H2'
_cell_length_a 7.476
_cell_length_b 7.886
_cell_length_c 3.454
_cell_angle_alpha 90.00
_cell_angle_beta 90.00
_cell_angle_gamma 90.00
_symmetry_space_group_name_H-M 'C m m m'
_symmetry_Int_Tables_number 65
_symmetry_space_group_name_Hall '-C 2 2'
loop_
_atom_site_label
_atom_site_type_symbol
_atom_site_fract_x
_atom_site_fract_y
_atom_site_fract_z
Nb1 Nb 0.000 0.182 0.000
Nb2 Nb 0.247 0.000 0.500
Ga1 Ga 0.000 0.500 0.000
H1 H 0.000 0.000 0.500



Record 13
# Nb2Ga2H, relaxed, DFT PBE
# Polymorph energy (0 for the lowest one) (meV per atom): 0
# Size of the total moment (μB per formula unit): 0.00
data_Nb2Ga2H
_chemical_formula_sum 'Nb8 Ga8 H4'
_cell_length_a 2.927
_cell_length_b 13.884
_cell_length_c 7.409
_cell_angle_alpha 90.00
_cell_angle_beta 90.00
_cell_angle_gamma 90.00
_symmetry_space_group_name_H-M 'C m c 21'
_symmetry_Int_Tables_number 36
loop_
_symmetry_equiv_pos_as_xyz
'x,y,z'
'-x,-y,z+1/2'
'-x,y,z'
'x,-y,z+1/2'
'x+1/2,y+1/2,z'
'-x+1/2,-y+1/2,z+1/2'
'-x+1/2,y+1/2,z'
'x+1/2,-y+1/2,z+1/2'
loop_
_atom_site_label
_atom_site_type_symbol
_atom_site_fract_x
_atom_site_fract_y
_atom_site_fract_z
Nb1 Nb 0.000 0.040 0.000
Nb2 Nb 0.000 0.367 0.826
Ga1 Ga 0.000 0.282 0.477
Ga2 Ga 0.000 0.397 0.192
H1 H 0.000 0.046 0.269



Record 14
# Nb8GaH6, relaxed, DFT PBE
# Size of the total moment (μB per formula unit): 0.00
# VASP energy (eV per atom): -7.07
data_Nb8GaH6
_chemical_formula_sum 'Nb24 Ga3 H18'
_cell_length_a 8.3788
_cell_length_b 8.3788
_cell_length_c 8.9024
_cell_angle_alpha 90.00
_cell_angle_beta 90.00
_cell_angle_gamma 120.00
_symmetry_space_group_name_H-M 'R -3'
_symmetry_Int_Tables_number 148
_symmetry_space_group_name_Hall '-R 3'
loop_
_atom_site_label
_atom_site_type_symbol
_atom_site_fract_x
_atom_site_fract_y
_atom_site_fract_z
Nb1 Nb 0.0000 0.0000 0.1762
Nb2 Nb 0.0019 0.6599 0.9414
Ga1 Ga 0.0000 0.0000 0.5000
H1 H 0.0751 0.2409 0.9005



Record 15
# Nb2GaH, relaxed, DFT PBE
# Polymorph energy (0 for the lowest one) (meV per atom): 0
# Size of the total moment (μB per formula unit): 0.00
data_Nb2GaH
_chemical_formula_sum 'Nb8 Ga4 H4'
_cell_length_a 4.942
_cell_length_b 3.439
_cell_length_c 12.983
_cell_angle_alpha 90.00
_cell_angle_beta 90.00
_cell_angle_gamma 90.00
_symmetry_space_group_name_H-M 'P n m a'
_symmetry_Int_Tables_number 62
loop_
_symmetry_equiv_pos_as_xyz
'x,y,z'
'-x,-y,-z'
'-x+1/2,-y,z+1/2'
'x+1/2,y,-z+1/2'
'x+1/2,-y+1/2,-z+1/2'
'-x+1/2,y+1/2,z+1/2'
'-x,y+1/2,-z'
'x,-y+1/2,z'
loop_
_atom_site_label
_atom_site_type_symbol
_atom_site_fract_x
_atom_site_fract_y
_atom_site_fract_z
Nb1 Nb 0.142 0.250 0.164
Nb2 Nb 0.237 0.250 0.491
Ga1 Ga 0.089 0.750 0.328
H1 H 0.027 0.250 0.907



Record 16
# Nb2GaH2, relaxed, DFT PBE
# Polymorph energy (0 for the lowest one) (meV per atom): 13
# Size of the total moment (μB per formula unit): 0.00
data_Nb2GaH2
_chemical_formula_sum 'Nb8 Ga4 H8'
_cell_length_a 5.261
_cell_length_b 8.811
_cell_length_c 5.651
_cell_angle_alpha 90.00
_cell_angle_beta 117.59
_cell_angle_gamma 90.00
_symmetry_space_group_name_H-M 'C 1 2/c 1'
_symmetry_Int_Tables_number 15
loop_
_symmetry_equiv_pos_as_xyz
'x,y,z'
'-x,-y,-z'
'-x,y,-z+1/2'
'x,-y,z+1/2'
'x+1/2,y+1/2,z'
'-x+1/2,-y+1/2,-z'
'-x+1/2,y+1/2,-z+1/2'
'x+1/2,-y+1/2,z+1/2'
loop_
_atom_site_label
_atom_site_type_symbol
_atom_site_fract_x
_atom_site_fract_y
_atom_site_fract_z
Nb1 Nb 0.000 0.052 0.250
Nb2 Nb 0.000 0.302 0.750
Ga1 Ga 0.000 0.375 0.250
H1 H 0.119 0.125 0.987



Record 17
# Nb4Ga2H, relaxed, DFT PBE
# Polymorph energy (0 for the lowest one) (meV per atom): 0
# Size of the total moment (μB per formula unit): 0.00
data_Nb4Ga2H
_chemical_formula_sum 'Nb8 Ga4 H2'
_cell_length_a 3.870
_cell_length_b 3.870
_cell_length_c 14.561
_cell_angle_alpha 90.00
_cell_angle_beta 90.00
_cell_angle_gamma 90.00
_symmetry_space_group_name_H-M 'I 4/m m m'
_symmetry_Int_Tables_number 139
_symmetry_space_group_name_Hall '-I 4 2'
loop_
_atom_site_label
_atom_site_type_symbol
_atom_site_fract_x
_atom_site_fract_y
_atom_site_fract_z
Nb1 Nb 0.000 0.000 0.176
Nb2 Nb 0.000 0.500 0.000
Ga1 Ga 0.000 0.000 0.359
H1 H 0.000 0.000 0.000



Record 18
# NbGa2H2, relaxed, DFT PBE
# Size of the total moment (μB per formula unit): 0.00
# VASP energy (eV per atom): -4.49
data_NbGa2H2
_chemical_formula_sum 'Nb2 Ga4 H4'
_cell_length_a 5.491
_cell_length_b 5.491
_cell_length_c 3.870
_cell_angle_alpha 90.00
_cell_angle_beta 90.00
_cell_angle_gamma 90.00
_symmetry_space_group_name_H-M 'P 4/m b m'
_symmetry_Int_Tables_number 127
_symmetry_space_group_name_Hall '-P 4 2ab'
loop_
_atom_site_label
_atom_site_type_symbol
_atom_site_fract_x
_atom_site_fract_y
_atom_site_fract_z
Nb1 Nb 0.000 0.000 0.000
Ga1 Ga 0.177 0.323 0.500
H1 H 0.176 0.676 0.000



Record 19
# Nb4Ga5H2, relaxed, DFT PBE
# Size of the total moment (μB per formula unit): 0.00
# VASP energy (eV per atom): -5.73
data_Nb4Ga5H2
_chemical_formula_sum 'Nb8 Ga10 H4'
_cell_length_a 16.632
_cell_length_b 2.942
_cell_length_c 7.258
_cell_angle_alpha 90.00
_cell_angle_beta 112.56
_cell_angle_gamma 90.00
_symmetry_space_group_name_H-M 'C 1 2/m 1'
_symmetry_Int_Tables_number 12
loop_
_symmetry_equiv_pos_as_xyz
'x,y,z'
'-x,-y,-z'
'-x,y,-z'
'x,-y,z'
'x+1/2,y+1/2,z'
'-x+1/2,-y+1/2,-z'
'-x+1/2,y+1/2,-z'
'x+1/2,-y+1/2,z'
loop_
_atom_site_label
_atom_site_type_symbol
_atom_site_fract_x
_atom_site_fract_y
_atom_site_fract_z
Nb1 Nb 0.014 0.000 0.196
Nb2 Nb 0.181 0.500 0.127
Ga1 Ga 0.000 0.500 0.500
Ga2 Ga 0.146 0.000 0.780
Ga3 Ga 0.182 0.000 0.466
H1 H 0.056 0.500 0.040



Record 20
# Nb4Ga2H, relaxed, DFT PBE
# Polymorph energy (0 for the lowest one) (meV per atom): 117
# Size of the total moment (μB per formula unit): 0.00
data_Nb4Ga2H
_chemical_formula_sum 'Nb4 Ga2 H1'
_cell_length_a 5.341
_cell_length_b 2.912
_cell_length_c 7.417
_cell_angle_alpha 90.00
_cell_angle_beta 108.12
_cell_angle_gamma 90.00
_symmetry_space_group_name_H-M 'P 1 2/m 1'
_symmetry_Int_Tables_number 10
loop_
_symmetry_equiv_pos_as_xyz
'x,y,z'
'-x,-y,-z'
'-x,y,-z'
'x,-y,z'
loop_
_atom_site_label
_atom_site_type_symbol
_atom_site_fract_x
_atom_site_fract_y
_atom_site_fract_z
Nb1 Nb 0.116 0.000 0.295
Nb2 Nb 0.341 0.500 0.655
Ga1 Ga 0.255 0.500 0.003
H1 H 0.500 0.000 0.500



Number 1: calculated volume 10.82 Å³ per atom. Number 2: calculated volume 16.73 Å³ per atom. Number 3: calculated volume 9.84 Å³ per atom. Number 4: calculated volume 13.78 Å³ per atom. Number 5: calculated volume 15.31 Å³ per atom. Number 6: calculated volume 14.61 Å³ per atom. Number 7: calculated volume 21.21 Å³ per atom. Number 8: calculated volume 15.22 Å³ per atom. Number 9: calculated volume 11.05 Å³ per atom. Number 10: calculated volume 11.52 Å³ per atom. Number 11: calculated volume 27.02 Å³ per atom. Number 12: calculated volume 16.97 Å³ per atom. Number 13: calculated volume 15.05 Å³ per atom. Number 14: calculated volume 12.03 Å³ per atom. Number 15: calculated volume 13.79 Å³ per atom. Number 16: calculated volume 11.61 Å³ per atom. Number 17: calculated volume 15.57 Å³ per atom. Number 18: calculated volume 11.67 Å³ per atom. Number 19: calculated volume 14.91 Å³ per atom. Number 20: calculated volume 15.66 Å³ per atom.